1.
This record from Alexandria via LeMat-Bulk describes a relaxed TmCu6Ni2 crystal. The functional is PBE.

Cell: 7.3013 7.3013 7.3013 Å, 158.11 122.33 62.44°
Positions (direct):
Tm (0.0000, 0.0000, 0.0000)
Cu (0.0057, 0.3228, 0.6828)
Cu (0.3362, 0.5000, 0.8362)
Cu (0.3600, 0.6772, 0.6828)
Cu (0.6400, 0.3228, 0.3172)
Cu (0.6638, 0.5000, 0.1638)
Cu (0.9943, 0.6772, 0.3172)
Ni (0.3516, 0.8516, 0.5000)
Ni (0.6484, 0.1484, 0.5000)

Values from the calculation:
space group: Immm
crystal system: orthorhombic
total moment: 0.00 μB per atom
energy relative to the elements: 0.093 eV/atom
calculated density: 9.09 g/cm3
DOS at the Fermi energy: 4.62 states/eV per cell
total DFT energy (no corrections): -39.773 eV per formula unit

***

2.
This record from Alexandria via LeMat-Bulk describes a relaxed HfTiFe2 crystal. The functional is PBE.

Cell: 6.0944 8.6510 4.3029 Å, 90.00 90.00 90.00°
Positions (direct):
Hf (0.0000, 0.1289, 0.2500)
Hf (0.0000, 0.8711, 0.7500)
Hf (0.5000, 0.3711, 0.7500)
Hf (0.5000, 0.6289, 0.2500)
Ti (0.0000, 0.3799, 0.7500)
Ti (0.0000, 0.6201, 0.2500)
Ti (0.5000, 0.1201, 0.2500)
Ti (0.5000, 0.8799, 0.7500)
Fe (0.2430, 0.3767, 0.2500)
Fe (0.2430, 0.6233, 0.7500)
Fe (0.2570, 0.1233, 0.7500)
Fe (0.2570, 0.8767, 0.2500)
Fe (0.7430, 0.1233, 0.7500)
Fe (0.7430, 0.8767, 0.2500)
Fe (0.7570, 0.3767, 0.2500)
Fe (0.7570, 0.6233, 0.7500)

Values from the calculation:
space group: Cmcm
crystal system: orthorhombic
total moment: 0.00 μB per atom
energy relative to the elements: -0.337 eV/atom
calculated density: 9.90 g/cm3
energy above the lowest structure with this stoichiometry: 1 meV per atom
DOS at the Fermi energy: 5.81 states/eV per cell
total DFT energy (no corrections): -36.121 eV per formula unit

***

3.
This record from Alexandria via LeMat-Bulk describes a relaxed SrLiSe2 crystal. The functional is PBE.

Cell: 5.6304 5.6304 15.2364 Å, 90.00 90.00 90.00°
Positions (direct):
Sr (0.0000, 0.0000, 0.0000)
Sr (0.0000, 0.5000, 0.2500)
Sr (0.5000, 0.0000, 0.7500)
Sr (0.5000, 0.5000, 0.5000)
Li (0.0000, 0.0000, 0.5000)
Li (0.0000, 0.5000, 0.7500)
Li (0.5000, 0.0000, 0.2500)
Li (0.5000, 0.5000, 0.0000)
Se (0.1552, 0.2500, 0.6250)
Se (0.2500, 0.6552, 0.8750)
Se (0.2500, 0.8448, 0.3750)
Se (0.3448, 0.2500, 0.1250)
Se (0.6552, 0.7500, 0.1250)
Se (0.7500, 0.1552, 0.3750)
Se (0.7500, 0.3448, 0.8750)
Se (0.8448, 0.7500, 0.6250)

Values from the calculation:
space group: I-42d
crystal system: tetragonal
total moment: 0.25 μB per atom
ΔE_f (raw): -1.1250 eV/atom
calculated density: 3.47 g/cm3
DOS at the Fermi energy: 6.04 states/eV per cell
total DFT energy (no corrections): -15.065 eV per formula unit

***

4.
This record from Alexandria via LeMat-Bulk describes a relaxed Ce2Zn3Ga crystal. The functional is PBE.

Cell: 9.2551 8.6758 5.7119 Å, 77.03 65.99 36.97°
Positions (direct):
Ce (0.2174, 0.7826, 0.7826)
Ce (0.2500, 0.2500, 0.2500)
Ce (0.7500, 0.7500, 0.7500)
Ce (0.7826, 0.2174, 0.2174)
Zn (0.1688, 0.1688, 0.8312)
Zn (0.1760, 0.6599, 0.3401)
Zn (0.3401, 0.8240, 0.1760)
Zn (0.6599, 0.1760, 0.8240)
Zn (0.8240, 0.3401, 0.6599)
Zn (0.8312, 0.8312, 0.1688)
Ga (0.3368, 0.3368, 0.6632)
Ga (0.6632, 0.6632, 0.3368)

Values from the calculation:
space group: Fmmm
crystal system: orthorhombic
total moment: 0.29 μB per atom
energy relative to the elements: -0.364 eV/atom
calculated density: 7.32 g/cm3
energy above the lowest structure with this stoichiometry: 0 meV per atom
DOS at the Fermi energy: 19.78 states/eV per cell
total DFT energy (no corrections): -20.901 eV per formula unit

***

5.
This record from Alexandria via LeMat-Bulk describes a relaxed In3Hg8Pb crystal. The functional is PBE.

Cell: 7.1785 7.1785 8.7434 Å, 114.78 114.78 88.79°
Positions (direct):
In (0.0000, 0.0000, 0.0000)
In (0.2445, 0.7446, 0.5004)
In (0.7446, 0.2445, 0.5004)
Hg (0.1098, 0.6208, 0.7410)
Hg (0.1196, 0.1196, 0.7511)
Hg (0.3686, 0.3686, 0.2498)
Hg (0.3690, 0.8806, 0.2599)
Hg (0.6208, 0.1098, 0.7410)
Hg (0.6301, 0.6301, 0.7505)
Hg (0.8803, 0.8803, 0.2501)
Hg (0.8806, 0.3690, 0.2599)
Pb (0.5004, 0.5004, 0.0009)

Values from the calculation:
space group: Cm
crystal system: monoclinic
total moment: 0.00 μB per atom
energy relative to the elements: 0.040 eV/atom
calculated density: 9.81 g/cm3
DOS at the Fermi energy: 3.54 states/eV per cell
total DFT energy (no corrections): -13.863 eV per formula unit

***

6.
This record from Alexandria via LeMat-Bulk describes a relaxed KCr2Mo crystal. The functional is PBE.

Cell: 3.0660 3.4272 8.0037 Å, 90.00 90.00 90.00°
Positions (direct):
K (0.0000, 0.0000, 0.0000)
Cr (0.0000, 0.0000, 0.5282)
Cr (0.5000, 0.5000, 0.6405)
Mo (0.5000, 0.5000, 0.3755)

Values from the calculation:
space group: Pmm2
crystal system: orthorhombic
total moment: 0.00 μB per atom
energy relative to the elements: 0.883 eV/atom
calculated density: 4.72 g/cm3
energy above the lowest structure with this stoichiometry: 92 meV per atom
DOS at the Fermi energy: 2.40 states/eV per cell
total DFT energy (no corrections): -27.643 eV per formula unit

***

7.
This record from Alexandria via LeMat-Bulk describes a relaxed Ir7Rh6 crystal. The functional is PBE.

Cell: 9.2472 9.2472 9.2472 Å, 32.36 32.36 32.36°
Positions (direct):
Ir (0.0000, 0.0000, 0.0000)
Ir (0.0869, 0.0869, 0.5818)
Ir (0.0869, 0.5818, 0.0869)
Ir (0.4182, 0.9131, 0.9131)
Ir (0.5818, 0.0869, 0.0869)
Ir (0.9131, 0.4182, 0.9131)
Ir (0.9131, 0.9131, 0.4182)
Rh (0.1641, 0.1641, 0.1641)
Rh (0.3402, 0.3402, 0.3402)
Rh (0.4465, 0.4465, 0.4465)
Rh (0.5535, 0.5535, 0.5535)
Rh (0.6598, 0.6598, 0.6598)
Rh (0.8359, 0.8359, 0.8359)

Values from the calculation:
space group: R-3m
crystal system: trigonal
total moment: 0.00 μB per atom
energy relative to the elements: 0.345 eV/atom
calculated density: 16.19 g/cm3
DOS at the Fermi energy: 20.56 states/eV per cell
total DFT energy (no corrections): -101.657 eV per formula unit

***

8.
This record from Alexandria via LeMat-Bulk describes a relaxed Th6AsOs3Se2 crystal. The functional is PBE.

Cell: 9.6019 9.6019 8.7021 Å, 106.82 106.82 24.81°
Positions (direct):
Th (0.0075, 0.0075, 0.2364)
Th (0.3282, 0.3282, 0.4351)
Th (0.3418, 0.3418, 0.8953)
Th (0.6582, 0.6582, 0.1047)
Th (0.6718, 0.6718, 0.5649)
Th (0.9925, 0.9925, 0.7636)
As (0.5000, 0.5000, 0.5000)
Os (0.1678, 0.1678, 0.3349)
Os (0.5000, 0.5000, 0.0000)
Os (0.8322, 0.8322, 0.6651)
Se (0.1681, 0.1681, 0.8372)
Se (0.8319, 0.8319, 0.1628)

Values from the calculation:
space group: C2/m
crystal system: monoclinic
total moment: 0.00 μB per atom
ΔE_f (raw): -0.9291 eV/atom
calculated density: 11.34 g/cm3
DOS at the Fermi energy: 5.51 states/eV per cell
total DFT energy (no corrections): -100.976 eV per formula unit